(1)
A relaxed CdPbSeO crystal, computed with PBE-GGA.

a = 4.086 Å, b = 13.355 Å, c = 6.219 Å
α = 90.00°, β = 90.00°, γ = 90.00°
Space group Cmcm (No. 63)
One atom of each set of equivalent atoms:
1 Cd 0.000 0.119 0.250 [4 per cell]
2 Pb 0.000 0.410 0.250 [4 per cell]
3 Se 0.000 0.264 0.750 [4 per cell]
4 O 0.000 0.000 0.000 [4 per cell]

**Energy above the most stable polymorph in this dataset**: 0.81 eV/f.u.

---

(2)
A relaxed CdPbSeO crystal, computed with PBE-GGA.

a = 3.687 Å, b = 3.687 Å, c = 12.337 Å
α = 90.00°, β = 90.00°, γ = 90.00°
Space group P4/nmm (No. 129, origin choice 2)
One atom of each set of equivalent atoms:
1 Cd 0.250 0.250 0.098 [2 per cell]
2 Pb 0.250 0.250 0.732 [2 per cell]
3 Se 0.250 0.750 0.500 [2 per cell]
4 O 0.250 0.250 0.921 [2 per cell]

**Energy above the most stable polymorph in this dataset**: 1.93 eV/f.u.

---

(3)
A relaxed CdPbSeO crystal, computed with PBE-GGA.

a = 6.579 Å, b = 7.088 Å, c = 8.461 Å
α = 90.00°, β = 90.00°, γ = 90.00°
Space group P2_12_12_1 (No. 19)
One atom of each set of equivalent atoms:
1 Cd 0.009 0.204 0.413 [4 per cell]
2 Pb 0.022 0.165 0.947 [4 per cell]
3 Se 0.231 0.503 0.273 [4 per cell]
4 O 0.205 0.916 0.989 [4 per cell]

**Energy above the most stable polymorph in this dataset**: 0.45 eV/f.u.

---

(4)
A relaxed CdTcPb2O6 crystal, computed with PBE-GGA.

a = 5.672 Å, b = 5.672 Å, c = 8.435 Å
α = 90.00°, β = 90.00°, γ = 90.00°
Space group I4/m (No. 87)
One atom of each set of equivalent atoms:
1 Cd 0.000 0.000 0.000 [2 per cell]
2 Tc 0.000 0.000 0.500 [2 per cell]
3 Pb 0.000 0.500 0.250 [4 per cell]
4 O 0.000 0.000 0.268 [4 per cell]
5 O 0.153 0.698 0.500 [8 per cell]

**Total magnetic moment**: 1.00 μB/f.u.
**Energy above the most stable polymorph in this dataset**: 0.00 eV/f.u.

---

(5)
A relaxed CdTcPb2O6 crystal, computed with PBE-GGA.

a = 8.220 Å, b = 8.220 Å, c = 8.220 Å
α = 90.00°, β = 90.00°, γ = 90.00°
Space group Fm-3m (No. 225)
One atom of each set of equivalent atoms:
1 Cd 0.000 0.000 0.000 [4 per cell]
2 Tc 0.000 0.000 0.500 [4 per cell]
3 Pb 0.250 0.250 0.250 [8 per cell]
4 O 0.000 0.000 0.268 [24 per cell]

**Total magnetic moment**: 0.90 μB/f.u.
**Energy above the most stable polymorph in this dataset**: 0.68 eV/f.u.

---

(6)
A relaxed Zr4CdPbO2 crystal, computed with PBE-GGA.

a = 3.3406 Å, b = 3.3406 Å, c = 14.7961 Å
α = 90.00°, β = 90.00°, γ = 120.00°
Space group P-6m2 (No. 187)
One atom of each set of equivalent atoms:
1 Zr 0.0000 0.0000 0.1653 [2 per cell]
2 Zr 0.3333 0.6667 0.3339 [2 per cell]
3 Cd 0.3333 0.6667 0.0000 [1 per cell]
4 Pb 0.0000 0.0000 0.5000 [1 per cell]
5 O 0.6667 0.3333 0.2462 [2 per cell]

**Total magnetic moment**: 0.03 μB/f.u.
**Raw total energy**: -7.29 eV/atom

---

(7)
A relaxed Cd6PdO8 crystal, computed with PBE-GGA.

a = 9.343 Å, b = 9.343 Å, c = 9.343 Å
α = 90.00°, β = 90.00°, γ = 90.00°
Space group Fm-3m (No. 225)
One atom of each set of equivalent atoms:
1 Cd 0.000 0.250 0.250 [24 per cell]
2 Pd 0.000 0.000 0.000 [4 per cell]
3 O 0.000 0.000 0.219 [24 per cell]
4 O 0.250 0.250 0.250 [8 per cell]

**Raw total energy**: -4.27 eV/atom

---

(8)
A relaxed CdPd5O crystal, computed with PBE-GGA.

a = 3.902 Å, b = 3.902 Å, c = 7.000 Å
α = 90.00°, β = 90.00°, γ = 90.00°
Space group P4/mmm (No. 123)
One atom of each set of equivalent atoms:
1 Cd 0.000 0.000 0.000 [1 per cell]
2 Pd 0.000 0.500 0.296 [4 per cell]
3 Pd 0.500 0.500 0.000 [1 per cell]
4 O 0.500 0.500 0.500 [1 per cell]

**Raw total energy**: -4.54 eV/atom

---

(9)
A relaxed CdPdO2 crystal, computed with PBE-GGA.

a = 3.2120 Å, b = 3.2120 Å, c = 19.1302 Å
α = 90.00°, β = 90.00°, γ = 120.00°
Space group R-3m (No. 166, hexagonal axes)
One atom of each set of equivalent atoms:
1 Cd 0.0000 0.0000 0.0000 [3 per cell]
2 Pd 0.0000 0.0000 0.5000 [3 per cell]
3 O 0.0000 0.0000 0.3993 [6 per cell]

**Raw total energy**: -4.46 eV/atom

---

(10)
A relaxed CdPdSO crystal, computed with PBE-GGA.

a = 6.854 Å, b = 10.462 Å, c = 6.856 Å
α = 90.00°, β = 90.00°, γ = 90.00°
Space group Pbca (No. 61)
One atom of each set of equivalent atoms:
1 Cd 0.003 0.249 0.250 [8 per cell]
2 Pd 0.249 0.000 0.000 [8 per cell]
3 S 0.000 0.001 0.749 [8 per cell]
4 O 0.248 0.726 0.499 [8 per cell]

**Energy above the most stable polymorph in this dataset**: 0.36 eV/f.u.